First-principles (PBE-GGA) data for Na3SrLi after structural relaxation, as listed in the Alexandria database.

Lattice parameters (Å, degrees): 18.0506 11.2030 7.5912 90.00 102.37 90.00
Closest atoms and distances in Å follow each position.
Space group C2/c (No. 15)
Asymmetric unit:
Na  0.1722  0.1625  0.0669 x8  1 Li 3.23, 1 Na 3.57
Na  0.1769  0.1664  0.5998 x8  1 Li 3.26, 2 Na 3.57-3.60
Na  0.1835  0.4954  0.5927 x8  2 Li 3.21-3.22, 1 Na 3.60
Sr  0.0000  0.0406  0.2500 x4  2 Li 3.59, 2 Sr 3.90, 4 Na 3.91-3.95
Sr  0.0000  0.3495  0.7500 x4  6 Li 3.80-4.10, 8 Na 4.08-4.15
Li  0.0798  0.3358  0.2832 x8  1 Li 2.82

Computed properties:
ΔE to the lowest computed polymorph	0.0	meV/atom
magnetic moment	0.00	μB per formula unit
E_form	4.9	kJ per mole of atoms